No. 1
! SrTa2N PBE optimized geometry; values from VASP
! space-group type = Fd-3m
! uncorrected formation energy = 0.048 eV/atom
&SYSTEM
  ibrav = 0, nat = 8, ntyp = 3
/
ATOMIC_SPECIES
Ta 180.95 Ta.upf
Sr 87.62 Sr.upf
N 14.01 N.upf
ATOMIC_POSITIONS crystal
Ta 0.375 0.625 0.250
Ta 0.375 0.125 0.250
Ta 0.375 0.625 0.750
Ta 0.875 0.625 0.750
Sr 0.000 0.000 0.000
Sr 0.750 0.250 0.500
N 0.500 0.500 0.000
N 0.250 0.750 0.500
CELL_PARAMETERS angstrom
6.486 0.000 0.000
0.000 6.486 0.000
3.243 3.243 4.585

No. 2
! Ta2TcSnGe PBE optimized geometry; values from VASP
! space-group type = P4/mmm
! DFT total energy = -0.568 Ry/atom
&SYSTEM
  ibrav = 0, nat = 5, ntyp = 4
/
ATOMIC_SPECIES
Sn 118.71 Sn.upf
Ta 180.95 Ta.upf
Ge 72.64 Ge.upf
Tc 98.00 Tc.upf
ATOMIC_POSITIONS crystal
Sn 0.500 0.500 0.500
Ta 0.500 0.000 0.000
Ta 0.000 0.000 0.500
Ge 0.000 0.500 0.000
Tc 0.000 0.000 0.000
CELL_PARAMETERS angstrom
-2.258 -2.047 3.837
3.986 0.147 2.424
-1.184 4.449 1.677

No. 3
! CsAc2PdO5 PBE optimized geometry; values from VASP
! space-group type = I4/mcm
! uncorrected formation energy = -2.062 eV/atom
&SYSTEM
  ibrav = 0, nat = 18, ntyp = 4
/
ATOMIC_SPECIES
O 16.00 O.upf
Ac 227.00 Ac.upf
Cs 132.91 Cs.upf
Pd 106.42 Pd.upf
ATOMIC_POSITIONS crystal
O 0.004 0.504 0.758
O 0.000 0.000 0.000
O 0.253 0.004 0.758
O 0.753 0.253 0.758
O 0.500 0.500 0.000
O 0.496 0.247 0.242
O 0.996 0.496 0.242
O 0.504 0.753 0.758
O 0.747 0.996 0.242
O 0.247 0.747 0.242
Ac 0.820 0.680 0.000
Ac 0.180 0.320 0.000
Ac 0.320 0.820 0.000
Ac 0.680 0.180 0.000
Cs 0.250 0.250 0.500
Cs 0.750 0.750 0.500
Pd 0.250 0.750 0.500
Pd 0.750 0.250 0.500
CELL_PARAMETERS angstrom
7.260 0.000 0.000
0.000 7.260 0.000
-3.630 -3.630 6.235

No. 4
! ZnReSi4 PBE optimized geometry; values from VASP
! space-group type = F-43m
! uncorrected formation energy = 0.596 eV/atom
&SYSTEM
  ibrav = 0, nat = 6, ntyp = 3
/
ATOMIC_SPECIES
Si 28.09 Si.upf
Re 186.21 Re.upf
Zn 65.41 Zn.upf
ATOMIC_POSITIONS crystal
Si 0.375 0.375 0.375
Si 0.375 0.375 0.876
Si 0.375 0.876 0.375
Si 0.876 0.375 0.375
Re 0.000 0.000 0.000
Zn 0.750 0.750 0.750
CELL_PARAMETERS angstrom
0.000 3.478 3.478
3.478 0.000 3.478
3.478 3.478 0.000

No. 5
! KLi2MoCl8 PBE optimized geometry; values from VASP
! space-group type = P-1
! uncorrected formation energy = -1.268 eV/atom
&SYSTEM
  ibrav = 0, nat = 12, ntyp = 4
/
ATOMIC_SPECIES
Li 6.94 Li.upf
K 39.10 K.upf
Cl 35.45 Cl.upf
Mo 95.94 Mo.upf
ATOMIC_POSITIONS crystal
Li 0.500 0.500 0.334
Li 0.500 0.500 0.666
K 0.000 0.000 0.500
Cl 0.675 0.685 0.500
Cl 0.804 0.234 0.812
Cl 0.325 0.315 0.500
Cl 0.803 0.233 0.188
Cl 0.196 0.766 0.188
Cl 0.742 0.791 0.000
Cl 0.197 0.767 0.812
Cl 0.258 0.209 0.000
Mo 0.000 0.000 0.000
CELL_PARAMETERS angstrom
6.268 0.636 -0.007
0.723 6.141 -0.005
0.012 0.013 8.958

No. 6
! SnOs3C PBE optimized geometry; values from VASP
! space-group type = Pm-3m
! DFT total energy = -0.391 Ry/atom
&SYSTEM
  ibrav = 0, nat = 5, ntyp = 3
/
ATOMIC_SPECIES
Sn 118.71 Sn.upf
C 12.01 C.upf
Os 190.23 Os.upf
ATOMIC_POSITIONS crystal
Sn 0.000 0.000 0.000
C 0.500 0.500 0.500
Os 0.500 0.000 0.000
Os 0.000 0.000 0.500
Os 0.000 0.500 0.000
CELL_PARAMETERS angstrom
4.881 0.000 0.000
0.000 4.881 0.000
0.000 0.000 4.881

No. 7
! Dy8TmBi6 PBE optimized geometry; values from VASP
! space-group type = R-3
! DFT total energy = -0.353 Ry/atom
&SYSTEM
  ibrav = 0, nat = 15, ntyp = 3
/
ATOMIC_SPECIES
Bi 208.98 Bi.upf
Dy 162.50 Dy.upf
Tm 168.93 Tm.upf
ATOMIC_POSITIONS crystal
Bi 0.062 0.731 0.815
Bi 0.269 0.608 0.185
Bi 0.608 0.938 0.185
Bi 0.731 0.392 0.815
Bi 0.938 0.269 0.185
Bi 0.392 0.062 0.815
Dy 0.786 0.120 0.637
Dy 0.214 0.880 0.363
Dy 0.333 0.333 0.000
Dy 0.120 0.457 0.637
Dy 0.880 0.543 0.363
Dy 0.543 0.214 0.363
Dy 0.667 0.667 0.000
Dy 0.457 0.786 0.637
Tm 0.000 0.000 0.000
CELL_PARAMETERS angstrom
7.622 0.000 0.000
3.811 6.601 0.000
3.811 2.200 9.842

No. 8
! ZnCrRe2 PBE optimized geometry; values from VASP
! space-group type = P4/mmm
! DFT total energy = -0.635 Ry/atom
&SYSTEM
  ibrav = 0, nat = 4, ntyp = 3
/
ATOMIC_SPECIES
Re 186.21 Re.upf
Zn 65.41 Zn.upf
Cr 52.00 Cr.upf
ATOMIC_POSITIONS crystal
Re 0.000 0.000 0.000
Re 0.000 0.500 0.500
Zn 0.500 0.500 0.000
Cr 0.500 0.000 0.500
CELL_PARAMETERS angstrom
3.871 0.000 0.000
0.000 3.802 0.000
0.000 0.000 3.802

Number 1: D(E_F) 0.31 states/eV/atom. Number 2: D(E_F) 0.60 states/eV/atom. Number 3: D(E_F) 0.62 states/eV/atom. Number 4: D(E_F) 0.54 states/eV/atom. Number 5: D(E_F) 0.33 states/eV/atom. Number 6: D(E_F) 1.47 states/eV/atom. Number 7: D(E_F) 0.63 states/eV/atom. Number 8: D(E_F) 0.90 states/eV/atom.